[1]
LaIn6Ag6: relaxed, GGA-PBE.

- formation energy (eV per atom) = -0.19
- crystal system = orthorhombic

Unit cell a=5.8529 b=9.7951 c=9.9129 alpha=90.00 beta=90.00 gamma=90.00
Space group Immm (No. 71)
One atom of each set of equivalent atoms:
La  0.0000  0.0000  0.0000 [2 per cell]
In  0.0000  0.0000  0.3465 [4 per cell]
In  0.0000  0.3457  0.0000 [4 per cell]
In  0.0000  0.5000  0.3083 [4 per cell]
Ag  0.0000  0.2700  0.5000 [4 per cell]
Ag  0.2500  0.2500  0.2500 [8 per cell]

[2]
TlReAu2Se: relaxed, GGA-PBE.

- formation energy from raw total energies (eV/atom) = 1.745
- crystal system = tetragonal

Unit cell a=5.1749 b=5.1749 c=5.3618 alpha=90.00 beta=90.00 gamma=90.00
Space group P4/mmm (No. 123)
One atom of each set of equivalent atoms:
Tl  0.0000  0.0000  0.0000 [1 per cell]
Re  0.0000  0.0000  0.5000 [1 per cell]
Au  0.0000  0.5000  0.0000 [2 per cell]
Se  0.5000  0.5000  0.5000 [1 per cell]

[3]
MgFe2Ni: relaxed, GGA-PBE.

- formation energy (eV per atom) = 0.13
- crystal system = tetragonal

Unit cell a=3.5866 b=3.5866 c=7.9984 alpha=90.00 beta=90.00 gamma=90.00
Space group I4/mmm (No. 139)
One atom of each set of equivalent atoms:
Mg  0.0000  0.0000  0.0000 [2 per cell]
Fe  0.0000  0.5000  0.2500 [4 per cell]
Ni  0.0000  0.0000  0.5000 [2 per cell]

[4]
TaSnPd2: relaxed, GGA-PBE.

- formation energy (eV per atom) = 0.05
- crystal system = tetragonal

Unit cell a=4.0552 b=4.0552 c=18.4896 alpha=90.00 beta=90.00 gamma=90.00
Space group I-42d (No. 122)
One atom of each set of equivalent atoms:
Ta  0.0000  0.0000  0.0000 [4 per cell]
Sn  0.0000  0.0000  0.5000 [4 per cell]
Pd  0.2451  0.2500  0.1250 [8 per cell]

[5]
Li2TmZnPd4: relaxed, GGA-PBE.

- formation energy (eV per atom) = -0.64
- crystal system = trigonal

Unit cell a=4.4418 b=4.4418 c=22.0132 alpha=90.00 beta=90.00 gamma=120.00
Space group R-3m (No. 166, hexagonal axes)
One atom of each set of equivalent atoms:
Li  0.0000  0.0000  0.2455 [6 per cell]
Tm  0.0000  0.0000  0.0000 [3 per cell]
Zn  0.0000  0.0000  0.5000 [3 per cell]
Pd  0.0000  0.0000  0.1285 [6 per cell]
Pd  0.0000  0.0000  0.3830 [6 per cell]

[6]
Ho2CuSn: relaxed, GGA-PBE.

- formation energy (eV per atom) = -0.49
- crystal system = monoclinic

Unit cell a=6.0663 b=4.3529 c=7.9279 alpha=90.00 beta=110.51 gamma=90.00
Space group P2_1/m (No. 11)
One atom of each set of equivalent atoms:
Ho  0.1980  0.2500  0.4411 [2 per cell]
Ho  0.2161  0.2500  0.9086 [2 per cell]
Cu  0.3528  0.7500  0.7089 [2 per cell]
Sn  0.3367  0.7500  0.2124 [2 per cell]

[7]
LiDy3Pt2: relaxed, GGA-PBE.

- formation energy (eV per atom) = -0.89
- crystal system = trigonal

Unit cell a=4.9340 b=4.9340 c=12.4331 alpha=90.00 beta=90.00 gamma=120.00
Space group P-3m1 (No. 164)
One atom of each set of equivalent atoms:
Li  0.3333  0.6667  0.1708 [2 per cell]
Dy  0.0000  0.0000  0.2579 [2 per cell]
Dy  0.3333  0.6667  0.4236 [2 per cell]
Dy  0.3333  0.6667  0.9200 [2 per cell]
Pt  0.0000  0.0000  0.0000 [1 per cell]
Pt  0.0000  0.0000  0.5000 [1 per cell]
Pt  0.3333  0.6667  0.6933 [2 per cell]

[8]
Li2SmThSi2: relaxed, GGA-PBE.

- formation energy from raw total energies (eV/atom) = -0.515
- crystal system = trigonal

Unit cell a=4.4412 b=4.4412 c=7.3695 alpha=90.00 beta=90.00 gamma=120.00
Space group P-3m1 (No. 164)
One atom of each set of equivalent atoms:
Li  0.3333  0.6667  0.2730 [2 per cell]
Sm  0.0000  0.0000  0.5000 [1 per cell]
Th  0.0000  0.0000  0.0000 [1 per cell]
Si  0.3333  0.6667  0.7513 [2 per cell]

[9]
Sr2Be2Au7: relaxed, GGA-PBE.

- formation energy (eV per atom) = -0.37
- crystal system = monoclinic

Unit cell a=7.5134 b=14.1609 c=4.4478 alpha=90.00 beta=90.20 gamma=90.00
Space group C2/m (No. 12)
One atom of each set of equivalent atoms:
Sr  0.0000  0.1902  0.0000 [4 per cell]
Be  0.1582  0.5000  0.4964 [4 per cell]
Au  0.0000  0.0000  0.5000 [2 per cell]
Au  0.1875  0.3415  0.4995 [8 per cell]
Au  0.2376  0.5000  0.9974 [4 per cell]

no.,D(E_F) (states/eV per cell)
1,7.5
2,3.9
3,9.3
4,3.9
5,9.5
6,7.1
7,7.4
8,3.3
9,7.6